{"formula": "YH2I2", "functional": "PBE-GGA", "state": "optimized geometry", "n_ef_per_ev_cell": 0.000, "vol_a3_per_atom": 35.6, "total_magnetization_mub_per_atom": 0.000, "space_group": "C2/m", "final_energy_ev_per_atom": -3.9658, "mass_density_g_cm3": 3.2, "cell": [[8.270, 0.000, -0.775], [4.135, 5.328, -0.388], [2.834, 0.000, 7.814]], "species": ["I", "I", "I", "I", "H", "H", "H", "H", "Y", "Y"], "fractional_positions": [[0.063, 0.503, 0.742], [0.937, 0.497, 0.258], [0.434, 0.503, 0.258], [0.566, 0.497, 0.742], [0.100, 0.000, 0.904], [0.053, 0.000, 0.095], [0.900, 0.000, 0.096], [0.947, 0.000, 0.905], [0.173, 0.654, 0.000], [0.827, 0.346, 0.000]]}

{"formula": "Ba2TaGe2N6", "functional": "PBE-GGA", "state": "optimized geometry", "n_ef_per_ev_cell": 5.828, "vol_a3_per_atom": 16.1, "total_magnetization_mub_per_atom": 0.000, "space_group": "R-3m", "final_energy_ev_per_atom": -7.1697, "e_form_raw_ev_per_atom": -0.362, "mass_density_g_cm3": 6.4, "cell": [[-3.137, 4.608, 2.006], [-1.680, 0.193, 5.678], [3.343, 4.373, 3.931]], "species": ["Ta", "N", "N", "N", "N", "N", "N", "Ge", "Ge", "Ba", "Ba"], "fractional_positions": [[0.000, 0.000, 0.000], [0.766, 0.244, 0.225], [0.234, 0.756, 0.775], [0.234, 0.234, 0.775], [0.766, 0.766, 0.225], [0.244, 0.766, 0.225], [0.756, 0.234, 0.775], [0.407, 0.407, 0.779], [0.593, 0.593, 0.221], [0.213, 0.213, 0.360], [0.787, 0.787, 0.640]]}

{"formula": "Ba2CoRh", "functional": "PBE-GGA", "state": "optimized geometry", "delta_e_f_ev_per_atom": 0.43, "relative_energy_ev_per_atom": 0.445, "n_ef_per_ev_cell": 2.202, "vol_a3_per_atom": 28.5, "total_magnetization_mub_per_atom": 0.503, "space_group": "Fm-3m", "final_energy_ev_per_atom": -4.1501, "mass_density_g_cm3": 6.4, "cell": [[-0.976, -4.947, 2.054], [-0.040, -0.750, 5.393], [-4.692, -1.002, 2.575]], "species": ["Rh", "Co", "Ba", "Ba"], "fractional_positions": [[0.500, 0.500, 0.500], [0.000, 0.000, 0.000], [0.750, 0.750, 0.750], [0.250, 0.250, 0.250]]}

{"formula": "NaHgSe2Cl", "functional": "PBE-GGA", "state": "optimized geometry", "n_ef_per_ev_cell": 6.442, "vol_a3_per_atom": 31.5, "total_magnetization_mub_per_atom": 0.182, "space_group": "P4/mmm", "final_energy_ev_per_atom": -2.2268, "e_form_raw_ev_per_atom": -0.140, "mass_density_g_cm3": 4.4, "cell": [[5.228, 0.000, 0.000], [0.000, 5.768, 0.000], [0.000, 0.000, 5.228]], "species": ["Hg", "Na", "Se", "Se", "Cl"], "fractional_positions": [[0.000, 0.000, 0.000], [0.500, 0.500, 0.500], [0.500, 0.000, 0.000], [0.000, 0.000, 0.500], [0.000, 0.500, 0.000]]}

{"formula": "TmCdFe4", "functional": "PBE-GGA", "state": "optimized geometry", "delta_e_f_ev_per_atom": -0.03, "n_ef_per_ev_cell": 5.143, "vol_a3_per_atom": 15.1, "total_magnetization_mub_per_atom": 1.468, "space_group": "F-43m", "final_energy_ev_per_atom": -6.5688, "mass_density_g_cm3": 9.2, "cell": [[5.045, 0.000, 0.000], [2.522, 4.369, 0.000], [2.522, 1.456, 4.119]], "species": ["Cd", "Fe", "Fe", "Fe", "Fe", "Tm"], "fractional_positions": [[0.250, 0.250, 0.250], [0.625, 0.625, 0.124], [0.124, 0.625, 0.625], [0.625, 0.124, 0.625], [0.625, 0.625, 0.625], [0.000, 0.000, 0.000]]}

{"formula": "Mg4PIr2", "functional": "PBE-GGA", "state": "optimized geometry", "delta_e_f_ev_per_atom": 0.28, "n_ef_per_ev_cell": 6.262, "vol_a3_per_atom": 21.9, "total_magnetization_mub_per_atom": 0.159, "space_group": "I4/mmm", "final_energy_ev_per_atom": -3.9397, "mass_density_g_cm3": 5.6, "cell": [[4.911, 0.000, 0.000], [0.000, 4.911, 0.000], [2.455, 2.455, 6.355]], "species": ["P", "Mg", "Mg", "Mg", "Mg", "Ir", "Ir"], "fractional_positions": [[0.000, 0.000, 0.000], [0.806, 0.806, 0.389], [0.000, 0.500, 0.000], [0.194, 0.194, 0.611], [0.500, 0.000, 0.000], [0.401, 0.401, 0.199], [0.599, 0.599, 0.801]]}

{"formula": "NaSiB", "functional": "PBE-GGA", "state": "optimized geometry", "n_ef_per_ev_cell": 0.028, "vol_a3_per_atom": 16.5, "total_magnetization_mub_per_atom": 0.000, "space_group": "P1", "final_energy_ev_per_atom": -4.3102, "e_form_raw_ev_per_atom": 0.163, "mass_density_g_cm3": 2.1, "cell": [[-1.511, -4.825, -3.521], [3.182, 0.000, -1.405], [0.247, -2.388, 4.250]], "species": ["Si", "Si", "Na", "Na", "B", "B"], "fractional_positions": [[0.696, 0.331, 0.472], [0.924, 0.657, 0.948], [0.479, 0.037, 0.883], [0.187, 0.341, 0.398], [0.942, 0.057, 0.719], [0.851, 0.780, 0.361]]}

{"formula": "YTe3I", "functional": "PBE-GGA", "state": "optimized geometry", "relative_energy_ev_per_atom": 0.000, "n_ef_per_ev_cell": 10.222, "vol_a3_per_atom": 40.3, "total_magnetization_mub_per_atom": 0.000, "space_group": "Pm-3m", "final_energy_ev_per_atom": -3.6259, "e_form_raw_ev_per_atom": -0.138, "mass_density_g_cm3": 4.9, "cell": [[-2.708, -5.098, 1.019], [4.439, -1.669, 3.446], [-2.707, 2.364, 4.632]], "species": ["Te", "Te", "Te", "I", "Y"], "fractional_positions": [[0.000, 0.000, 0.500], [0.000, 0.500, 0.000], [0.500, 0.000, 0.000], [0.500, 0.500, 0.500], [0.000, 0.000, 0.000]]}